Record 1
Zn6Cu10Au | PBE | relaxed

Summary:
**Symmetry**: P-31m
**Total magnetic moment**: 0.00 μB per atom
**Energy of formation**: -0.037 eV per atom

extended XYZ file:
```
17
Lattice="5.083 0.000 0.000 0.000 6.236 -3.600 0.000 0.000 7.201" Properties=species:S:1:pos:R:3 pbc="T T T"
Zn 3.457 2.213 1.278
Zn 3.457 0.000 4.646
Zn 3.457 4.023 -2.323
Zn 1.626 4.023 2.323
Zn 1.626 0.000 2.555
Zn 1.626 2.213 -1.278
Cu 4.258 4.313 2.490
Cu 4.258 0.000 2.220
Cu 4.258 1.923 -1.110
Cu 0.825 1.923 1.110
Cu 0.825 0.000 4.980
Cu 0.825 4.313 -2.490
Cu 2.542 2.079 3.600
Cu 2.542 4.157 0.000
Cu 0.000 4.157 0.000
Cu 0.000 2.079 3.600
Au 2.542 0.000 0.000
```

Record 2
SrCa2La | PBE | relaxed

Summary:
**Symmetry**: P4/mmm
**Excess energy over the best structure of this formula in the dataset**: 0.027 eV per atom
**Total magnetic moment**: 0.00 μB per atom
**Energy of formation**: 0.091 eV per atom

extended XYZ file:
```
4
Lattice="-6.041 0.357 -1.704 -1.135 -5.474 2.877 -0.911 2.119 3.673" Properties=species:S:1:pos:R:3 pbc="T T T"
Sr -1.023 -1.678 3.275
Ca 0.000 0.000 0.000
Ca -3.588 -2.559 0.586
La -3.476 1.238 0.984
```

Record 3
CsSrIn6 | PBE | relaxed

Summary:
**Symmetry**: Pmm2
**Total magnetic moment**: 0.00 μB per atom
**Energy of formation**: -0.154 eV per atom

extended XYZ file:
```
8
Lattice="-0.100 2.092 4.589 -6.487 -3.091 1.268 3.377 -5.945 2.785" Properties=species:S:1:pos:R:3 pbc="T T T"
Cs -3.966 -1.890 0.775
Sr -0.945 -3.158 4.192
In -4.829 -3.397 4.216
In 1.533 -4.702 2.177
In 0.054 -2.097 0.957
In -3.388 -5.934 5.404
In -3.121 -5.265 2.333
In -1.355 0.424 2.549
```

Record 4
FeSn | PBE | relaxed

Summary:
**Symmetry**: P2_12_12_1
**Total magnetic moment**: 1.12 μB per atom
**Energy of formation**: 0.222 eV per atom

extended XYZ file:
```
16
Lattice="-1.094 2.808 -4.324 -3.941 -3.183 -1.070 -6.333 5.994 5.495" Properties=species:S:1:pos:R:3 pbc="T T T"
Fe -3.444 0.273 -1.315
Fe -10.153 4.416 -0.139
Fe -2.995 3.772 -0.853
Fe -6.145 2.775 2.509
Fe -4.275 3.862 1.238
Fe -5.376 4.000 -1.606
Fe -9.239 5.578 1.887
Fe -3.846 -2.203 -1.318
Sn -4.735 1.781 -3.149
Sn -8.838 2.845 1.793
Sn -2.365 1.731 0.802
Sn -6.799 4.880 0.757
Sn -7.609 4.628 4.175
Sn -1.499 1.840 -2.394
Sn -8.128 3.016 -1.652
Sn -5.501 1.753 0.074
```

Record 5
Pm5Rh3 | PBE | relaxed

Summary:
**Symmetry**: I4/mcm
**Excess energy over the best structure of this formula in the dataset**: 0.073 eV per atom
**Total magnetic moment**: 0.00 μB per atom
**Energy of formation**: -0.556 eV per atom

extended XYZ file:
```
16
Lattice="6.267 0.000 0.000 3.133 7.973 0.000 3.133 0.000 7.973" Properties=species:S:1:pos:R:3 pbc="T T T"
Pm 4.700 3.986 3.986
Pm 7.834 3.986 3.986
Pm 9.400 6.976 2.338
Pm 3.133 0.997 5.635
Pm 6.267 2.338 6.976
Pm 6.267 5.635 0.997
Pm 9.400 6.976 5.635
Pm 3.133 0.997 2.338
Pm 6.267 2.338 0.997
Pm 6.267 5.635 6.976
Rh 1.567 0.000 0.000
Rh 4.700 0.000 0.000
Rh 9.400 3.986 6.471
Rh 3.134 3.986 1.502
Rh 6.267 6.471 3.986
Rh 6.267 1.502 3.986
```

Record 6
Li2PaMo3N6 | PBE | relaxed

Summary:
**Symmetry**: C2/m
**Total magnetic moment**: 0.00 μB per atom
**Uncorrected energy**: -8.828 eV per atom

extended XYZ file:
```
12
Lattice="5.282 -0.030 0.031 -2.666 4.561 0.031 -0.841 -1.457 5.331" Properties=species:S:1:pos:R:3 pbc="T T T"
Li -0.010 3.026 0.031
Li 2.626 1.504 0.031
Pa 0.000 0.000 0.000
Mo -1.601 2.974 2.696
Mo 3.376 0.100 2.696
Mo 0.888 1.537 2.696
N 2.645 1.484 4.006
N 1.757 3.043 1.542
N -0.870 1.590 1.386
N -0.037 3.033 4.006
N 0.018 0.031 3.850
N 1.812 0.041 1.386
```

Record 7
USb2Ru | PBE | relaxed

Summary:
**Symmetry**: P4/nmm
**Excess energy over the best structure of this formula in the dataset**: 0.000 eV per atom
**Total magnetic moment**: 0.38 μB per atom

extended XYZ file:
```
8
Lattice="4.384 0.000 0.000 0.000 4.384 0.000 0.000 0.000 9.163" Properties=species:S:1:pos:R:3 pbc="T T T"
U 2.192 0.000 2.500
U 0.000 2.192 6.663
Sb 0.000 0.000 0.000
Sb 2.192 2.192 0.000
Sb 2.192 0.000 6.216
Sb 0.000 2.192 2.947
Ru 0.000 0.000 4.581
Ru 2.192 2.192 4.581
```

Record 8
Tm2Si5Rh3 | PBE | relaxed

Summary:
**Symmetry**: Ibam
**Total magnetic moment**: 0.00 μB per atom
**Uncorrected energy**: -6.766 eV per atom

extended XYZ file:
```
20
Lattice="-1.137 5.514 0.800 -7.733 1.615 -1.904 -3.756 1.125 7.117" Properties=species:S:1:pos:R:3 pbc="T T T"
Tm -5.292 1.850 -0.058
Tm -4.025 4.381 4.504
Tm -7.334 6.404 6.072
Tm -8.600 3.873 1.510
Si -6.046 3.668 6.545
Si -9.324 6.759 0.797
Si -6.580 4.585 -0.531
Si -3.301 1.495 5.217
Si -9.497 4.728 4.443
Si -3.129 3.526 1.571
Si -6.597 5.506 3.207
Si -6.029 2.748 2.807
Si -2.561 0.768 1.171
Si -10.065 7.485 4.843
Rh -7.337 3.683 4.611
Rh -8.772 6.547 3.045
Rh -5.289 4.571 1.402
Rh -3.854 1.707 2.969
Rh -0.284 1.379 0.200
Rh -0.853 4.136 0.600
```